[1]
# YScCo

A geometry-optimized YScCo structure (PBE, OQMD via LeMat-Bulk).

extended XYZ file:
```
3
Lattice="3.880 -1.352 1.923 -0.088 -2.888 3.497 1.436 -4.268 -0.546" Properties=species:S:1:pos:R:3 pbc="T T T"
Co 1.307 -2.127 1.219
Y 0.000 0.000 0.000
Sc 3.921 -6.381 3.656
```

## Properties
The value obtained for the raw total energy is -5.795 eV/atom. The calculation puts the calculated formation energy at 0.838 eV/atom. The calculation puts the calculated volume at 22.00 Å³/atom.

[2]
# LuScTa

A geometry-optimized LuScTa structure (PBE, OQMD via LeMat-Bulk).

extended XYZ file:
```
3
Lattice="0.000 3.428 3.428 3.428 0.000 3.428 3.428 3.428 0.000" Properties=species:S:1:pos:R:3 pbc="T T T"
Sc 5.141 5.141 5.141
Ta 0.000 0.000 0.000
Lu 1.714 1.714 1.714
```

## Properties
The value obtained for the raw total energy is -6.630 eV/atom. The calculation puts the calculated formation energy at 0.938 eV/atom. The calculation puts the calculated volume at 26.85 Å³/atom.

[3]
# YHoTm

A geometry-optimized YHoTm structure (PBE, OQMD via LeMat-Bulk).

extended XYZ file:
```
3
Lattice="-4.205 2.333 2.427 0.790 4.094 3.410 -1.485 4.988 -1.390" Properties=species:S:1:pos:R:3 pbc="T T T"
Y -1.225 2.854 1.112
Tm -3.674 8.561 3.335
Ho 0.000 0.000 0.000
```

## Properties
The value obtained for the raw total energy is -4.436 eV/atom. The calculation puts the calculated formation energy at 0.737 eV/atom. The calculation puts the calculated volume at 36.83 Å³/atom.

| no. | E above lowest polymorph (eV per atom) |
| --- | --- |
| 1 | 0.158 |
| 2 | 0.000 |
| 3 | 0.013 |